Record 1
An optimized crystal structure of Ac2PN. Source: the Alexandria database, functional PBE-GGA.

Cell and atoms, written as POSCAR:
```
Ac2PN
1.0
4.1581 0.0000 0.0000
2.0791 3.6010 0.0000
2.0791 1.2003 6.8983
P Ac N
1 2 1
Cartesian
0.0000 0.0000 0.0000
2.0791 1.2003 1.9175
6.2372 3.6010 4.9808
4.1581 2.4007 3.4491
```

Calculated values
N(E_F) ... 0.69 states/eV/f.u.
Electronic total energy ... -6.6516 eV per atom
Distance to the lowest polymorph of the same formula ... 0.00 eV/f.u.
Symmetry ... R-3m (166)



Record 2
An optimized crystal structure of Ac7SiI12. Source: the Alexandria database, functional PBE-GGA.

Cell and atoms, written as POSCAR:
```
Ac7SiI12
1.0
-7.7002 -5.2682 4.7314
5.8577 -6.9055 -5.2378
5.9828 4.2904 7.4319
Ac Si I
7 1 12
Cartesian
1.9028 -5.9602 7.6239
-1.6080 -2.2703 1.2054
1.2824 0.5530 2.6912
2.0702 -3.9417 3.4627
2.8579 -8.4364 4.2343
5.7483 -5.6131 5.7201
2.2375 -1.9232 -0.6985
0.0000 0.0000 0.0000
-0.6693 -3.7113 8.4413
-3.4757 -4.8843 2.6268
-0.3969 -1.8901 4.3527
0.1943 -6.3898 4.7177
2.7955 1.1937 5.7963
3.4531 -3.2007 6.3997
0.6873 -4.6827 0.5258
1.3448 -9.0771 1.1292
3.9460 -1.4936 2.2078
4.5372 -5.9933 2.5728
7.6160 -2.9991 4.2987
4.8096 -4.1721 -1.5158
```

Calculated values
N(E_F) ... 12.47 states/eV/f.u.
Electronic total energy ... -3.9806 eV per atom
Symmetry ... R-3 (148)



Record 3
An optimized crystal structure of SnIO2F. Source: the Alexandria database, functional PBE-GGA.

Cell and atoms, written as POSCAR:
```
SnIO2F
1.0
-1.3380 0.6127 4.4680
1.7451 -4.2271 1.1022
3.6863 1.7472 0.8643
I Sn O F
1 1 2 1
Cartesian
1.8431 0.8736 0.4321
2.0467 -0.9336 3.2172
0.8725 -2.1135 0.5511
-0.6690 0.3063 2.2340
0.0000 0.0000 0.0000
```

Calculated values
N(E_F) ... 2.13 states/eV/f.u.
Electronic total energy ... -3.1157 eV per atom
Symmetry ... P4/mmm (123)



Record 4
An optimized crystal structure of La3Pm8Y4. Source: the Alexandria database, functional PBE-GGA.

Cell and atoms, written as POSCAR:
```
La3Pm8Y4
1.0
6.9604 -0.0537 -0.0771
-3.3233 8.5737 1.5649
-3.3233 -1.5087 8.5838
La Pm Y
3 8 4
Cartesian
1.8186 4.2600 0.7439
1.8186 -0.7812 4.2533
0.1569 3.5056 5.0358
3.6564 2.0442 2.9364
-3.3233 5.5990 3.6358
0.1698 1.7437 2.5048
0.1569 6.0314 3.2775
0.1569 0.9799 6.7941
0.1440 5.2676 7.5668
-3.3233 1.4660 6.5129
-3.3425 4.9671 7.1352
3.4802 -0.0268 -0.0386
-1.6616 4.2868 0.7825
0.0000 0.0000 0.0000
-1.6616 -0.7544 4.2919
```

Calculated values
N(E_F) ... 25.66 states/eV/f.u.
Electronic total energy ... -4.9209 eV per atom
DFT formation energy ... 0.322 eV/atom
Symmetry ... C2/m (12)



Question: N(E_F) of number 4 (La3Pm8Y4)?
Answer: 25.66 states/eV/f.u.



Question: N(E_F) of number 1 (Ac2PN)?
Answer: 0.69 states/eV/f.u.



Question: Which of these has the lowest N(E_F)?
Answer: Ac2PN



Question: Look up the N(E_F) of the first one.
Answer: 0.69 states/eV/f.u.